Material: LiSm4Ti2Mn2O12
Method: DFT, GGA+U
State: optimized geometry

a = 5.4586 Å, b = 5.8236 Å, c = 8.0225 Å
α = 89.89°, β = 87.51°, γ = 89.63°
Fractional positions:
Ti: 0.0179 0.5000 0.9972
Ti: 0.4890 0.9689 0.4971
O: 0.7873 0.8130 0.5649
O: 0.6155 0.0375 0.2659
O: 0.2015 0.2089 0.0619
O: 0.1353 0.4575 0.7603
O: 0.3778 0.9616 0.7355
O: 0.7117 0.3078 0.9577
O: 0.3159 0.6888 0.4325
O: 0.1905 0.1765 0.4437
O: 0.3167 0.6966 0.0479
O: 0.8294 0.8108 0.9456
O: 0.8856 0.5478 0.2310
O: 0.6621 0.2991 0.5768
Mn: 0.5082 0.0077 0.0015
Mn: 0.9495 0.5022 0.4827
Sm: 0.0228 0.9361 0.2386
Sm: 0.4818 0.4211 0.2285
Sm: 0.9707 0.0764 0.7456
Sm: 0.5537 0.5993 0.7914
Li: 0.3395 0.3884 0.5687

Results
Total energy, eV per atom: -7.990
Excess energy over the best structure of this formula in the dataset, kcal/mol of atoms: 2.889